Below is Sc6C2NCl2 after structural relaxation, with properties calculated at the GGA-PBE level.

Uncorrected energy (eV per cell): -81.167
ΔE_f (raw) (eV per atom): -1.16
Symmetry: C2/m
Magnetization (μB/f.u.): 0.00
Theoretical density (Mg/m³): 3.53

```
11
Lattice="-3.710 4.377 -1.074 0.211 -4.577 -3.617 -3.053 -2.715 4.852" Properties=species:S:1:pos:R:3 pbc="T T T"
Sc -2.979 -2.440 -2.520
Sc -2.297 -3.384 1.854
Sc -3.572 -0.475 2.681
Sc -1.893 -0.885 0.198
Sc -4.254 0.469 -1.693
Sc -4.658 -2.029 -0.037
N -1.526 -1.358 2.426
Cl -0.444 -3.080 -3.192
Cl -3.054 2.880 -1.499
C -3.940 0.059 0.511
C -2.611 -2.974 -0.350
```

=====

Below is Sm4CNCl2 after structural relaxation, with properties calculated at the GGA-PBE level.

Uncorrected energy (eV per cell): -50.709
ΔE_f (raw) (eV per atom): -1.32
Symmetry: P2/m
Magnetization (μB/f.u.): 0.00
Theoretical density (Mg/m³): 7.07

```
8
Lattice="-2.922 -2.220 0.338 3.195 -3.562 4.213 -3.491 5.170 3.788" Properties=species:S:1:pos:R:3 pbc="T T T"
Cl -0.148 0.804 4.000
Cl -3.206 1.475 2.063
Sm -1.977 3.241 4.198
Sm -1.388 -0.952 1.835
Sm -1.829 0.339 6.504
Sm 1.681 -1.633 3.803
C 0.137 -2.891 2.276
N 0.000 0.000 0.000
```

=====

- Look up the magnetization of the second one.
  0.00 μB/f.u.

=====

What did the first record say?
Below is Sc6C2NCl2 after structural relaxation, with properties calculated at the GGA-PBE level.

Uncorrected energy (eV per cell): -81.167
ΔE_f (raw) (eV per atom): -1.16
Symmetry: C2/m
Magnetization (μB/f.u.): 0.00
Theoretical density (Mg/m³): 3.53

```
11
Lattice="-3.710 4.377 -1.074 0.211 -4.577 -3.617 -3.053 -2.715 4.852" Properties=species:S:1:pos:R:3 pbc="T T T"
Sc -2.979 -2.440 -2.520
Sc -2.297 -3.384 1.854
Sc -3.572 -0.475 2.681
Sc -1.893 -0.885 0.198
Sc -4.254 0.469 -1.693
Sc -4.658 -2.029 -0.037
N -1.526 -1.358 2.426
Cl -0.444 -3.080 -3.192
Cl -3.054 2.880 -1.499
C -3.940 0.059 0.511
C -2.611 -2.974 -0.350
```

=====

- Which formula does entry 1 have?
  Sc6C2NCl2